P:
{
  "formula": "Sm2Dy2O5",
  "functional": "PBE",
  "state": "relaxed",
  "cell": [[7.601, 0.000, 0.000], [0.000, 4.343, 0.000], [0.000, 0.000, 4.343]],
  "species": ["Dy", "Dy", "O", "O", "O", "O", "O", "Sm", "Sm"],
  "frac_coords": [[0.226, 0.500, 0.500], [0.774, 0.500, 0.500], [0.231, 0.500, 0.000], [0.769, 0.500, 0.000], [0.231, 0.000, 0.500], [0.769, 0.000, 0.500], [0.500, 0.500, 0.500], [0.000, 0.000, 0.000], [0.500, 0.000, 0.000]],
  "spacegroup": "P4/mmm",
  "volume_a3_per_fu": 143.4
}



Q:
{
  "formula": "Sm2Dy2O5",
  "functional": "PBE",
  "state": "relaxed",
  "cell": [[-9.582, -1.612, 2.273], [1.078, -2.478, 2.786], [0.114, 2.920, 2.553]],
  "species": ["Dy", "Dy", "O", "O", "O", "O", "O", "Sm", "Sm"],
  "frac_coords": [[0.000, 0.000, 0.000], [0.500, 0.000, 0.000], [0.137, 0.500, 0.000], [0.863, 0.500, 0.000], [0.137, 0.000, 0.500], [0.863, 0.000, 0.500], [0.500, 0.500, 0.500], [0.241, 0.500, 0.500], [0.759, 0.500, 0.500]],
  "spacegroup": "P4/mmm",
  "volume_a3_per_fu": 150.3
}



The winner here is Q, beating the second structure by 14.3 kJ/mol of atoms.



P:
{
  "formula": "Dy2Ta2O5",
  "functional": "PBE",
  "state": "relaxed",
  "cell": [[7.097, 0.000, 0.000], [0.000, 3.997, 0.000], [0.000, 0.000, 3.997]],
  "species": ["Dy", "Dy", "O", "O", "O", "O", "O", "Ta", "Ta"],
  "frac_coords": [[0.000, 0.000, 0.000], [0.500, 0.000, 0.000], [0.253, 0.500, 0.000], [0.747, 0.500, 0.000], [0.253, 0.000, 0.500], [0.747, 0.000, 0.500], [0.500, 0.500, 0.500], [0.196, 0.500, 0.500], [0.804, 0.500, 0.500]],
  "spacegroup": "P4/mmm",
  "volume_a3_per_fu": 113.4
}



Q:
{
  "formula": "Dy2Ta2O5",
  "functional": "PBE",
  "state": "relaxed",
  "cell": [[-7.748, 6.199, -0.457], [-2.168, -2.704, 0.076], [-0.077, 0.159, 3.462]],
  "species": ["Dy", "Dy", "O", "O", "O", "O", "O", "Ta", "Ta"],
  "frac_coords": [[0.266, 0.500, 0.500], [0.734, 0.500, 0.500], [0.121, 0.500, 0.000], [0.879, 0.500, 0.000], [0.121, 0.000, 0.500], [0.879, 0.000, 0.500], [0.500, 0.500, 0.500], [0.000, 0.000, 0.000], [0.500, 0.000, 0.000]],
  "spacegroup": "P4/mmm",
  "volume_a3_per_fu": 119.4
}



The winner here is P, beating the second structure by 14.5 kJ/mol of atoms.



P:
{
  "formula": "DyTc2O8",
  "functional": "PBE",
  "state": "relaxed",
  "cell": [[-3.326, 3.326, 4.706], [3.326, -3.326, 4.706], [3.326, 3.326, -4.706]],
  "species": ["Dy", "O", "O", "O", "O", "O", "O", "O", "O", "Tc", "Tc"],
  "frac_coords": [[0.500, 0.500, 0.000], [0.643, 0.357, 0.285], [0.928, 0.643, 0.285], [0.357, 0.643, 0.285], [0.643, 0.928, 0.285], [0.357, 0.072, 0.715], [0.643, 0.357, 0.715], [0.072, 0.357, 0.715], [0.357, 0.643, 0.715], [0.750, 0.250, 0.500], [0.250, 0.750, 0.500]],
  "spacegroup": "Fm-3m",
  "volume_a3_per_fu": 208.2
}



Q:
{
  "formula": "DyTc2O8",
  "functional": "PBE",
  "state": "relaxed",
  "cell": [[5.328, 0.000, 0.000], [0.000, 6.083, 0.000], [0.000, 3.041, 5.269]],
  "species": ["Dy", "O", "O", "O", "O", "O", "O", "O", "O", "Tc", "Tc"],
  "frac_coords": [[0.000, 0.000, 0.000], [0.766, 0.650, 0.163], [0.766, 0.163, 0.188], [0.336, 0.333, 0.333], [0.234, 0.812, 0.350], [0.766, 0.188, 0.650], [0.664, 0.667, 0.667], [0.234, 0.837, 0.812], [0.234, 0.350, 0.837], [0.659, 0.333, 0.333], [0.341, 0.667, 0.667]],
  "spacegroup": "P-3",
  "volume_a3_per_fu": 170.8
}



The winner here is P, beating the second structure by 2.5 kJ/mol of atoms.



P:
{
  "formula": "Dy2Te2O5",
  "functional": "PBE",
  "state": "relaxed",
  "cell": [[-4.975, 2.784, -4.635], [1.046, -2.851, -2.835], [-2.873, -2.579, 1.534]],
  "species": ["Dy", "Dy", "O", "O", "O", "O", "O", "Te", "Te"],
  "frac_coords": [[0.000, 0.000, 0.000], [0.500, 0.000, 0.000], [0.288, 0.500, 0.000], [0.712, 0.500, 0.000], [0.288, 0.000, 0.500], [0.712, 0.000, 0.500], [0.500, 0.500, 0.500], [0.203, 0.500, 0.500], [0.797, 0.500, 0.500]],
  "spacegroup": "P4/mmm",
  "volume_a3_per_fu": 126.8
}



Q:
{
  "formula": "Dy2Te2O5",
  "functional": "PBE",
  "state": "relaxed",
  "cell": [[-4.365, -1.481, 7.950], [3.431, -0.138, 1.858], [-0.180, 3.850, 0.618]],
  "species": ["Dy", "Dy", "O", "O", "O", "O", "O", "Te", "Te"],
  "frac_coords": [[0.260, 0.500, 0.500], [0.740, 0.500, 0.500], [0.143, 0.500, 0.000], [0.857, 0.500, 0.000], [0.143, 0.000, 0.500], [0.857, 0.000, 0.500], [0.500, 0.500, 0.500], [0.000, 0.000, 0.000], [0.500, 0.000, 0.000]],
  "spacegroup": "P4/mmm",
  "volume_a3_per_fu": 140.1
}



The winner here is Q, beating the second structure by 72.2 kJ/mol of atoms.



P:
{
  "formula": "DyYTeO2",
  "functional": "PBE",
  "state": "relaxed",
  "cell": [[3.891, 0.000, 0.000], [-1.945, 3.370, 0.000], [0.000, 0.000, 7.185]],
  "species": ["Dy", "O", "O", "Te", "Y"],
  "frac_coords": [[0.000, 0.000, 0.305], [0.667, 0.333, 0.378], [0.000, 0.000, 0.620], [0.333, 0.667, 0.000], [0.667, 0.333, 0.697]],
  "spacegroup": "P3m1",
  "volume_a3_per_fu": 94.2
}



Q:
{
  "formula": "DyYTeO2",
  "functional": "PBE",
  "state": "relaxed",
  "cell": [[-4.969, -4.532, -1.048], [-5.022, -2.255, 4.002], [3.347, 5.416, -2.406]],
  "species": ["Dy", "O", "O", "Te", "Y"],
  "frac_coords": [[0.337, 0.337, 0.000], [0.750, 0.250, 0.500], [0.250, 0.750, 0.500], [0.000, 0.000, 0.000], [0.662, 0.662, 0.000]],
  "spacegroup": "I4mm",
  "volume_a3_per_fu": 95.4
}



The winner here is Q, beating the second structure by 7.3 kJ/mol of atoms.



P:
{
  "formula": "Dy2Zr2O5",
  "functional": "PBE",
  "state": "relaxed",
  "cell": [[9.994, 0.000, 0.000], [0.000, 3.615, 0.000], [0.000, 0.000, 3.615]],
  "species": ["Dy", "Dy", "O", "O", "O", "O", "O", "Zr", "Zr"],
  "frac_coords": [[0.249, 0.500, 0.500], [0.751, 0.500, 0.500], [0.128, 0.500, 0.000], [0.872, 0.500, 0.000], [0.128, 0.000, 0.500], [0.872, 0.000, 0.500], [0.500, 0.500, 0.500], [0.000, 0.000, 0.000], [0.500, 0.000, 0.000]],
  "spacegroup": "P4/mmm",
  "volume_a3_per_fu": 130.6
}



Q:
{
  "formula": "Dy2Zr2O5",
  "functional": "PBE",
  "state": "relaxed",
  "cell": [[7.396, 0.000, 0.000], [0.000, 4.115, 0.000], [0.000, 0.000, 4.115]],
  "species": ["Dy", "Dy", "O", "O", "O", "O", "O", "Zr", "Zr"],
  "frac_coords": [[0.000, 0.000, 0.000], [0.500, 0.000, 0.000], [0.263, 0.500, 0.000], [0.737, 0.500, 0.000], [0.263, 0.000, 0.500], [0.737, 0.000, 0.500], [0.500, 0.500, 0.500], [0.217, 0.500, 0.500], [0.783, 0.500, 0.500]],
  "spacegroup": "P4/mmm",
  "volume_a3_per_fu": 125.3
}



The winner here is P, beating the second structure by 10.3 kJ/mol of atoms.



P:
{
  "formula": "Dy3Tm3Sb2Os",
  "functional": "PBE",
  "state": "relaxed",
  "cell": [[8.121, 0.000, 0.000], [-4.060, 7.033, 0.000], [0.000, 0.000, 4.204]],
  "species": ["Dy", "Dy", "Dy", "Os", "Sb", "Sb", "Tm", "Tm", "Tm"],
  "frac_coords": [[0.394, 0.000, 0.000], [0.000, 0.394, 0.000], [0.606, 0.606, 0.000], [0.000, 0.000, 0.000], [0.667, 0.333, 0.500], [0.333, 0.667, 0.500], [0.765, 0.000, 0.500], [0.235, 0.235, 0.500], [0.000, 0.765, 0.500]],
  "spacegroup": "P-62m",
  "volume_a3_per_fu": 240.1
}



Q:
{
  "formula": "Dy3Tm3Sb2Os",
  "functional": "PBE",
  "state": "relaxed",
  "cell": [[-5.551, -0.623, 5.939], [5.592, -5.851, -0.984], [2.569, 2.016, 2.613]],
  "species": ["Dy", "Dy", "Dy", "Os", "Sb", "Sb", "Tm", "Tm", "Tm"],
  "frac_coords": [[0.761, 0.000, 0.500], [0.239, 0.239, 0.500], [0.000, 0.761, 0.500], [0.000, 0.000, 0.000], [0.667, 0.333, 0.500], [0.333, 0.667, 0.500], [0.391, 0.000, 0.000], [0.000, 0.391, 0.000], [0.609, 0.609, 0.000]],
  "spacegroup": "P-62m",
  "volume_a3_per_fu": 240.8
}



The winner here is P, beating the second structure by 6.0 kJ/mol of atoms.



P:
{
  "formula": "Sm3Dy3Te2Os",
  "functional": "PBE",
  "state": "relaxed",
  "cell": [[-6.535, 1.089, 5.135], [4.942, -6.713, 0.873], [2.375, 2.084, 2.581]],
  "species": ["Dy", "Dy", "Dy", "Os", "Sm", "Sm", "Sm", "Te", "Te"],
  "frac_coords": [[0.764, 0.000, 0.500], [0.236, 0.236, 0.500], [0.000, 0.764, 0.500], [0.000, 0.000, 0.000], [0.397, 0.000, 0.000], [0.000, 0.397, 0.000], [0.603, 0.603, 0.000], [0.667, 0.333, 0.500], [0.333, 0.667, 0.500]],
  "spacegroup": "P-62m",
  "volume_a3_per_fu": 248.2
}



Q:
{
  "formula": "Sm3Dy3Te2Os",
  "functional": "PBE",
  "state": "relaxed",
  "cell": [[8.441, 0.000, 0.000], [-4.221, 7.311, 0.000], [0.000, 0.000, 4.037]],
  "species": ["Dy", "Dy", "Dy", "Os", "Sm", "Sm", "Sm", "Te", "Te"],
  "frac_coords": [[0.395, 0.000, 0.000], [0.000, 0.395, 0.000], [0.605, 0.605, 0.000], [0.000, 0.000, 0.000], [0.757, 0.000, 0.500], [0.243, 0.243, 0.500], [0.000, 0.757, 0.500], [0.667, 0.333, 0.500], [0.333, 0.667, 0.500]],
  "spacegroup": "P-62m",
  "volume_a3_per_fu": 249.2
}



The winner here is P, beating the second structure by 8.0 kJ/mol of atoms.



P:
{
  "formula": "DyTmOs",
  "functional": "PBE",
  "state": "relaxed",
  "cell": [[-2.647, -1.178, -6.791], [-2.174, -3.441, 1.444], [-6.907, 5.120, 1.804]],
  "species": ["Dy", "Dy", "Dy", "Dy", "Os", "Os", "Os", "Os", "Tm", "Tm", "Tm", "Tm"],
  "frac_coords": [[0.977, 0.750, 0.167], [0.477, 0.750, 0.333], [0.523, 0.250, 0.667], [0.023, 0.250, 0.833], [0.256, 0.250, 0.120], [0.756, 0.250, 0.380], [0.244, 0.750, 0.620], [0.744, 0.750, 0.880], [0.646, 0.250, 0.067], [0.146, 0.250, 0.433], [0.854, 0.750, 0.567], [0.354, 0.750, 0.933]],
  "spacegroup": "Pnma",
  "volume_a3_per_fu": 70.0
}



Q:
{
  "formula": "DyTmOs",
  "functional": "PBE",
  "state": "relaxed",
  "cell": [[0.000, 3.314, 3.314], [3.314, 0.000, 3.314], [3.314, 3.314, 0.000]],
  "species": ["Dy", "Os", "Tm"],
  "frac_coords": [[0.250, 0.250, 0.250], [0.750, 0.750, 0.750], [0.000, 0.000, 0.000]],
  "spacegroup": "F-43m",
  "volume_a3_per_fu": 72.8
}



R:
{
  "formula": "DyTmOs",
  "functional": "PBE",
  "state": "relaxed",
  "cell": [[7.366, 0.000, 0.000], [0.000, 4.330, 0.000], [0.000, 0.000, 8.807]],
  "species": ["Dy", "Dy", "Dy", "Dy", "Os", "Os", "Os", "Os", "Tm", "Tm", "Tm", "Tm"],
  "frac_coords": [[0.352, 0.250, 0.070], [0.852, 0.250, 0.430], [0.148, 0.750, 0.570], [0.648, 0.750, 0.930], [0.751, 0.250, 0.116], [0.251, 0.250, 0.384], [0.749, 0.750, 0.616], [0.249, 0.750, 0.884], [0.020, 0.750, 0.163], [0.520, 0.750, 0.337], [0.480, 0.250, 0.663], [0.980, 0.250, 0.837]],
  "spacegroup": "Pnma",
  "volume_a3_per_fu": 70.2
}



The winner here is P, beating the second structure by 3.6 kJ/mol of atoms.



P:
{
  "formula": "DyPa",
  "functional": "PBE",
  "state": "relaxed",
  "cell": [[-2.415, -3.476, 1.702], [-4.257, -0.750, -1.458], [-0.912, -3.634, -2.602]],
  "species": ["Dy", "Pa"],
  "frac_coords": [[0.000, 0.000, 0.000], [0.250, 0.250, 0.250]],
  "spacegroup": "F-43m",
  "volume_a3_per_fu": 67.1
}



Q:
{
  "formula": "DyPa",
  "functional": "PBE",
  "state": "relaxed",
  "cell": [[-0.475, 5.005, -1.867], [-3.901, -3.573, -0.882], [-2.392, 1.482, 4.579]],
  "species": ["Dy", "Dy", "Pa", "Pa"],
  "frac_coords": [[0.667, 0.333, 0.250], [0.333, 0.667, 0.750], [0.000, 0.000, 0.000], [0.000, 0.000, 0.500]],
  "spacegroup": "P6_3/mmc",
  "volume_a3_per_fu": 66.9
}



The winner here is Q, beating the second structure by 123.0 kJ/mol of atoms.



P:
{
  "formula": "DySbPb",
  "functional": "PBE",
  "state": "relaxed",
  "cell": [[0.000, 3.661, 3.661], [3.661, 0.000, 3.661], [3.661, 3.661, 0.000]],
  "species": ["Dy", "Pb", "Sb"],
  "frac_coords": [[0.000, 0.000, 0.000], [0.250, 0.250, 0.250], [0.750, 0.750, 0.750]],
  "spacegroup": "F-43m",
  "volume_a3_per_fu": 98.1
}



Q:
{
  "formula": "DySbPb",
  "functional": "PBE",
  "state": "relaxed",
  "cell": [[1.683, 0.796, 4.847], [-2.366, 3.491, 3.029], [-2.862, -1.579, 4.034]],
  "species": ["Dy", "Pb", "Sb"],
  "frac_coords": [[0.250, 0.250, 0.250], [0.750, 0.750, 0.750], [0.000, 0.000, 0.000]],
  "spacegroup": "F-43m",
  "volume_a3_per_fu": 99.0
}



The winner here is Q, beating the second structure by 1.5 kJ/mol of atoms.



P:
{
  "formula": "DySiPb",
  "functional": "PBE",
  "state": "relaxed",
  "cell": [[0.000, 3.472, 3.472], [3.472, 0.000, 3.472], [3.472, 3.472, 0.000]],
  "species": ["Dy", "Pb", "Si"],
  "frac_coords": [[0.250, 0.250, 0.250], [0.750, 0.750, 0.750], [0.000, 0.000, 0.000]],
  "spacegroup": "F-43m",
  "volume_a3_per_fu": 83.7
}



Q:
{
  "formula": "DySiPb",
  "functional": "PBE",
  "state": "relaxed",
  "cell": [[0.000, 3.504, 3.504], [3.504, 0.000, 3.504], [3.504, 3.504, 0.000]],
  "species": ["Dy", "Pb", "Si"],
  "frac_coords": [[0.000, 0.000, 0.000], [0.250, 0.250, 0.250], [0.750, 0.750, 0.750]],
  "spacegroup": "F-43m",
  "volume_a3_per_fu": 86.1
}



The winner here is P, beating the second structure by 17.6 kJ/mol of atoms.